1.
## SiNi (meta-GGA SCAN)

Data for a crystal of SiNi relaxed with PBEsol.

Lattice parameters (Å, degrees): 2.969 3.263 4.667 90.00 90.00 90.00
Space group Pmmn (No. 59, origin choice 2)
Asymmetric unit:
1 Si 0.250 0.250 0.157
2 Ni 0.250 0.250 0.657

Results
Fermi-level density of states = 1.02 states/eV per cell
Formation energy without anion corrections = -0.454 eV per atom
Mass density = 6.38 g/cm3
Crystal system = orthorhombic

***

2.
## BaSr3Ca (meta-GGA SCAN)

Data for a crystal of BaSr3Ca relaxed with PBEsol.

Lattice parameters (Å, degrees): 6.429 6.429 6.429 90.00 90.00 90.00
Space group Pm-3m (No. 221)
Asymmetric unit:
1 Ba 0.000 0.000 0.000
2 Sr 0.000 0.000 0.500
3 Ca 0.500 0.500 0.500

Results
Fermi-level density of states = 8.81 states/eV per cell
DFT formation energy = 0.6440 eV/atom
Mass density = 2.75 g/cm3
Crystal system = cubic

***

3.
## Sc2CdCo2 (meta-GGA SCAN)

Data for a crystal of Sc2CdCo2 relaxed with PBEsol.

Lattice parameters (Å, degrees): 3.225 3.225 16.894 90.00 90.00 90.00
Space group I4/mmm (No. 139)
Asymmetric unit:
1 Sc 0.000 0.000 0.125
2 Cd 0.000 0.000 0.500
3 Co 0.000 0.500 0.250

Results
Fermi-level density of states = 8.06 states/eV per cell
DFT formation energy = -0.0651 eV/atom
Mass density = 6.05 g/cm3
Crystal system = tetragonal

***

4.
## SrTcAu2 (meta-GGA SCAN)

Data for a crystal of SrTcAu2 relaxed with PBEsol.

Lattice parameters (Å, degrees): 2.874 3.929 6.923 90.00 90.00 90.00
Space group Pmmm (No. 47)
Asymmetric unit:
1 Sr 0.000 0.000 0.000
2 Tc 0.000 0.000 0.500
3 Au 0.500 0.500 0.301

Results
Fermi-level density of states = 3.67 states/eV per cell
DFT formation energy = 0.0877 eV/atom
Excess energy over the best structure of this formula in the dataset = 0.000 eV/atom
Mass density = 12.31 g/cm3
Crystal system = orthorhombic

***

5.
## YMg2Rh2 (meta-GGA SCAN)

Data for a crystal of YMg2Rh2 relaxed with PBEsol.

Lattice parameters (Å, degrees): 7.474 7.474 3.155 90.00 90.00 90.00
Space group P4/mbm (No. 127)
Asymmetric unit:
1 Y 0.000 0.000 0.000
2 Mg 0.137 0.363 0.500
3 Rh 0.159 0.659 0.000

Results
Fermi-level density of states = 3.05 states/eV per cell
DFT formation energy = -0.6149 eV/atom
Excess energy over the best structure of this formula in the dataset = 0.000 eV/atom
Mass density = 6.47 g/cm3
Crystal system = tetragonal

***

6.
## ScTa2Te (meta-GGA SCAN)

Data for a crystal of ScTa2Te relaxed with PBEsol.

Lattice parameters (Å, degrees): 3.600 4.957 8.944 90.00 90.00 90.00
Space group Cmmm (No. 65)
Asymmetric unit:
1 Sc 0.000 0.000 0.000
2 Ta 0.000 0.500 0.261
3 Te 0.000 0.000 0.500

Results
Fermi-level density of states = 6.47 states/eV per cell
Formation energy without anion corrections = 0.351 eV per atom
Excess energy over the best structure of this formula in the dataset = 0.047 eV/atom
Mass density = 11.12 g/cm3
Crystal system = orthorhombic

***

7.
## TiCdNO2 (meta-GGA SCAN)

Data for a crystal of TiCdNO2 relaxed with PBEsol.

Lattice parameters (Å, degrees): 3.827 3.827 3.999 90.00 90.00 90.00
Space group P4/mmm (No. 123)
Asymmetric unit:
1 Ti 0.000 0.000 0.000
2 Cd 0.500 0.500 0.500
3 N 0.000 0.000 0.500
4 O 0.000 0.500 0.000

Results
Fermi-level density of states = 1.56 states/eV per cell
Formation energy without anion corrections = -1.350 eV per atom
Mass density = 5.85 g/cm3
Crystal system = tetragonal

***

8.
## Cd2FeAs (meta-GGA SCAN)

Data for a crystal of Cd2FeAs relaxed with PBEsol.

Lattice parameters (Å, degrees): 2.792 3.777 13.446 90.00 90.00 90.00
Space group Immm (No. 71)
Asymmetric unit:
1 Cd 0.000 0.000 0.181
2 Fe 0.000 0.500 0.500
3 As 0.000 0.500 0.000

Results
Fermi-level density of states = 4.37 states/eV per cell
DFT formation energy = 0.1002 eV/atom
Mass density = 8.33 g/cm3
Crystal system = orthorhombic

***

Question: Look up the Fermi-level density of states of the fourth one.
Answer: 3.67 states/eV per cell

***

Question: Among the records above, which one has the lowest Fermi-level density of states?
Answer: SiNi